VASP calculation (PBE-GGA) on a relaxed structure of RbMnAs.

The formation energy from the elements is -0.2457 eV per atom. The volume comes out at 197.47 Å³/cell. The calculated total energy comes out at -5.175 eV per atom.

It has space group P4/nmm (No. 129, origin choice 2), with a = 4.2360 Å, b = 4.2360 Å, c = 11.0052 Å, α = 90.00°, β = 90.00° and γ = 90.00°. Symmetry generates all atoms from Rb at (0.2500, 0.2500, 0.2069), Mn at (0.2500, 0.7500, 0.5000) and As at (0.2500, 0.2500, 0.6184).